[1]
The following is a PBEsol calculation of CuSiSb2 after structural relaxation, from Alexandria.

Total DFT energy (no corrections), eV/cell: -17.6
Formation energy (no corrections), eV/atom: 0.39

```
4
Lattice="3.071 0.000 0.000 0.000 5.044 0.000 0.000 0.000 5.044" Properties=species:S:1:pos:R:3 pbc="T T T"
Cu 1.536 0.000 0.000
Sb 0.000 2.522 0.000
Sb 0.000 0.000 2.522
Si 1.536 2.522 2.522
```

=====

[2]
The following is a PBEsol calculation of SmCuSb2 after structural relaxation, from Alexandria.

Total DFT energy (no corrections), eV/cell: -42.6
Formation energy (no corrections), eV/atom: -0.70

```
8
Lattice="-3.030 -1.857 2.389 2.447 -3.493 0.388 4.087 3.765 8.110" Properties=species:S:1:pos:R:3 pbc="T T T"
Sm -0.489 0.017 3.230
Sm 4.285 1.074 6.268
Sb 0.000 0.000 0.000
Sb -0.291 -2.675 1.389
Sb 1.168 1.543 6.519
Sb 2.628 -0.453 2.980
Cu 2.044 1.883 4.055
Cu 1.752 -0.792 5.444
```

=====

[3]
The following is a PBEsol calculation of Sm3Cu3Sb4 after structural relaxation, from Alexandria.

Total DFT energy (no corrections), eV/cell: -109.1
Formation energy (no corrections), eV/atom: -0.80

```
20
Lattice="-7.397 2.471 -2.729 2.947 -5.894 -4.985 -0.752 -2.996 7.664" Properties=species:S:1:pos:R:3 pbc="T T T"
Sm -4.364 -4.452 1.543
Sm -0.658 -3.869 -3.804
Sm -3.706 -1.415 -1.659
Sm 0.259 -6.412 -0.254
Sm -0.470 -2.288 1.287
Sm -6.668 -0.822 2.737
Sb -1.197 0.400 -0.442
Sb -2.135 -3.669 3.815
Sb -3.598 -1.217 1.660
Sb -3.984 -3.882 -3.874
Sb -4.896 1.635 -1.806
Sb 0.976 -4.930 2.580
Sb -2.124 -4.164 -0.832
Sb 1.352 -3.432 -1.252
Cu -4.545 -2.551 3.754
Cu 1.466 -5.598 -2.787
Cu -5.462 -0.007 0.204
Cu -0.838 -1.967 -1.594
Cu -1.496 -5.004 1.609
Cu -4.732 -4.131 -1.337
```

=====

[4]
The following is a PBEsol calculation of CuSnSb2 after structural relaxation, from Alexandria.

Total DFT energy (no corrections), eV/cell: -34.5
Formation energy (no corrections), eV/atom: 0.11

```
8
Lattice="-4.303 3.774 -2.239 -1.689 -4.319 -4.034 -1.049 -1.933 7.191" Properties=species:S:1:pos:R:3 pbc="T T T"
Cu -2.996 -0.272 -3.136
Cu -4.174 0.784 0.908
Sn 0.000 0.000 0.000
Sn -2.866 -3.262 0.011
Sb -1.616 -1.724 4.417
Sb -3.559 -2.667 -2.678
Sb -4.451 -1.584 1.666
Sb -4.455 1.019 -1.567
```

=====

[5]
The following is a PBEsol calculation of Cu2SnSbW after structural relaxation, from Alexandria.

Total DFT energy (no corrections), eV/cell: -22.8
Formation energy (no corrections), eV/atom: 1.71

```
5
Lattice="4.575 0.000 0.000 0.000 4.575 0.000 0.000 0.000 5.884" Properties=species:S:1:pos:R:3 pbc="T T T"
Sn 0.000 0.000 2.942
W 2.287 2.287 2.942
Cu 2.287 0.000 0.000
Cu 0.000 2.287 0.000
Sb 0.000 0.000 0.000
```

=====

[6]
The following is a PBEsol calculation of Sr2CuSb after structural relaxation, from Alexandria.

Total DFT energy (no corrections), eV/cell: -14.4
Formation energy (no corrections), eV/atom: -0.46

```
4
Lattice="-2.200 -0.263 3.388 0.220 -5.319 -0.271 4.469 0.037 2.904" Properties=species:S:1:pos:R:3 pbc="T T T"
Cu -1.100 -0.132 1.694
Sr 2.235 0.018 1.452
Sr 0.110 -2.659 -0.135
Sb 1.244 -2.773 3.011
```

=====

[7]
The following is a PBEsol calculation of Sr2CuSb after structural relaxation, from Alexandria.

Total DFT energy (no corrections), eV/cell: -14.8
Formation energy (no corrections), eV/atom: -0.55

```
4
Lattice="4.526 0.000 0.000 0.000 4.484 0.000 -2.263 0.000 5.916" Properties=species:S:1:pos:R:3 pbc="T T T"
Sr 2.263 2.242 5.706
Sr 0.000 0.000 3.150
Cu 2.263 0.000 0.713
Sb 2.263 2.242 2.262
```

=====

[8]
The following is a PBEsol calculation of Ta3CuSb after structural relaxation, from Alexandria.

Total DFT energy (no corrections), eV/cell: -41.4
Formation energy (no corrections), eV/atom: 1.03

```
5
Lattice="4.612 0.000 0.000 0.000 4.612 0.000 0.000 0.000 4.612" Properties=species:S:1:pos:R:3 pbc="T T T"
Ta 0.000 2.306 0.000
Ta 0.000 0.000 2.306
Ta 2.306 0.000 0.000
Cu 0.000 0.000 0.000
Sb 2.306 2.306 2.306
```

=====

[9]
The following is a PBEsol calculation of TaCuSb2 after structural relaxation, from Alexandria.

Total DFT energy (no corrections), eV/cell: -24.9
Polymorph energy (0 for the lowest one), meV per atom: 0
Formation energy (no corrections), eV/atom: 0.27

```
4
Lattice="-0.680 -3.389 -0.294 3.880 -0.983 2.357 -2.387 0.134 3.984" Properties=species:S:1:pos:R:3 pbc="T T T"
Ta 1.600 -2.186 1.032
Sb 0.746 -0.425 3.171
Sb 0.000 0.000 0.000
Cu -1.534 -1.627 1.845
```

=====

[10]
The following is a PBEsol calculation of TaCuSb2 after structural relaxation, from Alexandria.

Total DFT energy (no corrections), eV/cell: -24.3
Polymorph energy (0 for the lowest one), meV per atom: 160
Formation energy (no corrections), eV/atom: 0.43

```
4
Lattice="-1.717 3.277 3.026 0.388 -0.666 4.717 3.004 2.700 2.556" Properties=species:S:1:pos:R:3 pbc="T T T"
Sb 1.256 3.983 7.723
Sb 0.419 1.328 2.574
Cu 0.000 0.000 0.000
Ta 0.838 2.655 5.149
```

=====

[11]
The following is a PBEsol calculation of TaCuSbTe2 after structural relaxation, from Alexandria.

Total DFT energy (no corrections), eV/cell: -23.5
Formation energy (no corrections), eV/atom: 0.99

```
5
Lattice="-4.565 -1.495 -0.915 1.329 -4.676 1.010 -1.184 0.694 4.772" Properties=species:S:1:pos:R:3 pbc="T T T"
Te -0.592 0.347 2.386
Te 0.665 -2.338 0.505
Cu 0.000 0.000 0.000
Ta -2.210 -2.739 2.433
Sb -2.283 -0.748 -0.457
```

=====

[12]
The following is a PBEsol calculation of TaCuSb2Te after structural relaxation, from Alexandria.

Total DFT energy (no corrections), eV/cell: -24.5
Formation energy (no corrections), eV/atom: 1.01

```
5
Lattice="-4.569 -1.608 0.650 -0.040 -1.734 -4.569 1.770 -4.365 1.641" Properties=species:S:1:pos:R:3 pbc="T T T"
Ta -1.420 -3.854 -1.139
Te 0.885 -2.183 0.821
Sb -2.285 -0.804 0.325
Sb -0.020 -0.867 -2.285
Cu 0.000 0.000 0.000
```